Computed, not measured: an optimized crystal structure of Rb2ScAu2 at the GGA-PBE level of DFT.

a b c (Å): 9.592 9.592 3.431
angles (deg): 90.00 90.00 90.00
Last column: magnetic moment on the atom in μB.
Fractional coordinates of all 10 atoms:
Au 0.680 0.820 0.500  0.01
Au 0.820 0.320 0.500  0.01
Au 0.180 0.680 0.500  0.01
Au 0.320 0.180 0.500  0.01
Rb 0.623 0.123 0.000  0.01
Rb 0.377 0.877 0.000  0.01
Rb 0.123 0.377 0.000  0.01
Rb 0.877 0.623 0.000  0.01
Sc 0.500 0.500 0.000  0.77
Sc 0.000 0.000 0.000  0.77

Calculated values
Energy of formation from the pure elements: 0.293 eV per atom
Energy above the most stable polymorph in this dataset: 0.3704 eV/atom
Space group: P4/mbm